No. 1
Here is a relaxed structure of Pm6Co2TeBr3 from Alexandria via LeMat-Bulk. Energies are from GGA-PBE.

Crystal system: monoclinic
E in eV/atom: -5.147
Total magnetic moment in μB/cell: 0.00
Formation energy from raw total energies in eV/atom: -0.91

a = 9.718 Å, b = 9.718 Å, c = 9.157 Å
α = 106.45°, β = 106.45°, γ = 24.58°
Fractional coordinates of all 12 atoms:
Pm 0.032 0.032 0.268
Pm 0.318 0.318 0.440
Pm 0.326 0.326 0.851
Pm 0.674 0.674 0.149
Pm 0.682 0.682 0.560
Pm 0.968 0.968 0.732
Co 0.172 0.172 0.345
Co 0.828 0.828 0.655
Te 0.500 0.500 0.000
Br 0.158 0.158 0.840
Br 0.500 0.500 0.500
Br 0.842 0.842 0.160

No. 2
Here is a relaxed structure of Pm3CoTeBr from Alexandria via LeMat-Bulk. Energies are from GGA-PBE.

Crystal system: monoclinic
E in eV/atom: -5.123
Total magnetic moment in μB/cell: 0.00
Formation energy from raw total energies in eV/atom: -0.76

a = 8.089 Å, b = 4.176 Å, c = 10.221 Å
α = 90.00°, β = 111.43°, γ = 90.00°
Fractional coordinates of all 12 atoms:
Pm 0.026 0.250 0.360
Pm 0.181 0.250 0.979
Pm 0.409 0.750 0.600
Pm 0.591 0.250 0.400
Pm 0.819 0.750 0.021
Pm 0.974 0.750 0.640
Co 0.216 0.250 0.646
Co 0.784 0.750 0.354
Te 0.243 0.750 0.228
Te 0.757 0.250 0.772
Br 0.367 0.750 0.876
Br 0.633 0.250 0.124

No. 3
Here is a relaxed structure of Pm6TlCo2Br3 from Alexandria via LeMat-Bulk. Energies are from GGA-PBE.

Crystal system: monoclinic
E in eV/atom: -4.902
Total magnetic moment in μB/cell: 0.00
Formation energy from raw total energies in eV/atom: -0.73

a = 10.337 Å, b = 10.337 Å, c = 9.148 Å
α = 107.17°, β = 107.17°, γ = 22.23°
Fractional coordinates of all 12 atoms:
Pm 0.040 0.040 0.279
Pm 0.314 0.314 0.429
Pm 0.333 0.333 0.858
Pm 0.667 0.667 0.142
Pm 0.686 0.686 0.571
Pm 0.960 0.960 0.721
Tl 0.500 0.500 0.000
Co 0.174 0.174 0.352
Co 0.826 0.826 0.648
Br 0.173 0.173 0.846
Br 0.500 0.500 0.500
Br 0.827 0.827 0.154

No. 4
Here is a relaxed structure of Pm4ZnCoBr2 from Alexandria via LeMat-Bulk. Energies are from GGA-PBE.

Crystal system: monoclinic
E in eV/atom: -4.534
Total magnetic moment in μB/cell: 0.00
Formation energy from raw total energies in eV/atom: -0.69

a = 7.326 Å, b = 3.992 Å, c = 8.065 Å
α = 90.00°, β = 107.29°, γ = 90.00°
Fractional coordinates of all 8 atoms:
Pm 0.223 0.000 0.295
Pm 0.228 0.500 0.698
Pm 0.772 0.500 0.302
Pm 0.777 0.000 0.705
Zn 0.500 0.500 0.500
Co 0.000 0.000 0.500
Br 0.000 0.500 0.000
Br 0.500 0.000 0.000

No. 5
Here is a relaxed structure of Pr3CoBr3 from Alexandria via LeMat-Bulk. Energies are from GGA-PBE.

Crystal system: cubic
Energy relative to the lowest polymorph listed for this composition in meV per atom: 0.0
E in eV/atom: -4.960
Total magnetic moment in μB/cell: 0.00
Formation energy from raw total energies in eV/atom: -1.18

a = 10.382 Å, b = 10.382 Å, c = 10.382 Å
α = 109.47°, β = 109.47°, γ = 109.47°
Fractional coordinates of all 28 atoms:
Pr 0.018 0.036 0.268
Pr 0.018 0.482 0.750
Pr 0.036 0.268 0.018
Pr 0.232 0.268 0.750
Pr 0.232 0.464 0.482
Pr 0.268 0.018 0.036
Pr 0.268 0.750 0.232
Pr 0.464 0.482 0.232
Pr 0.482 0.232 0.464
Pr 0.482 0.750 0.018
Pr 0.750 0.018 0.482
Pr 0.750 0.232 0.268
Co 0.000 0.250 0.500
Co 0.250 0.250 0.250
Co 0.250 0.500 0.000
Co 0.500 0.000 0.250
Br 0.250 0.757 0.743
Br 0.250 0.993 0.507
Br 0.507 0.250 0.993
Br 0.507 0.757 0.513
Br 0.513 0.507 0.757
Br 0.743 0.250 0.757
Br 0.743 0.993 0.987
Br 0.757 0.513 0.507
Br 0.757 0.743 0.250
Br 0.987 0.743 0.993
Br 0.993 0.507 0.250
Br 0.993 0.987 0.743

No. 6
Here is a relaxed structure of Pr4CoBr5 from Alexandria via LeMat-Bulk. Energies are from GGA-PBE.

Crystal system: monoclinic
E in eV/atom: -4.802
Total magnetic moment in μB/cell: 0.00
Formation energy from raw total energies in eV/atom: -1.34

a = 9.845 Å, b = 9.845 Å, c = 8.770 Å
α = 104.05°, β = 104.05°, γ = 23.87°
Fractional coordinates of all 10 atoms:
Pr 0.001 0.001 0.288
Pr 0.351 0.351 0.411
Pr 0.649 0.649 0.589
Pr 0.999 0.999 0.712
Co 0.500 0.500 0.500
Br 0.166 0.166 0.848
Br 0.173 0.173 0.344
Br 0.500 0.500 0.000
Br 0.827 0.827 0.656
Br 0.834 0.834 0.152

No. 7
Here is a relaxed structure of Pr3CoBr from Alexandria via LeMat-Bulk. Energies are from GGA-PBE.

Crystal system: monoclinic
Energy relative to the lowest polymorph listed for this composition in meV per atom: 0.0
E in eV/atom: -5.107
Total magnetic moment in μB/cell: 0.00
Formation energy from raw total energies in eV/atom: -0.48

a = 9.090 Å, b = 3.783 Å, c = 9.133 Å
α = 90.00°, β = 113.34°, γ = 90.00°
Fractional coordinates of all 10 atoms:
Pr 0.048 0.250 0.246
Pr 0.299 0.750 0.628
Pr 0.316 0.250 0.988
Pr 0.684 0.750 0.012
Pr 0.701 0.250 0.372
Pr 0.952 0.750 0.754
Co 0.059 0.250 0.588
Co 0.941 0.750 0.412
Br 0.370 0.750 0.305
Br 0.630 0.250 0.695

No. 8
Here is a relaxed structure of Pr9Co2Br14 from Alexandria via LeMat-Bulk. Energies are from GGA-PBE.

Crystal system: trigonal
E in eV/atom: -4.548
Total magnetic moment in μB/cell: 5.17
Formation energy from raw total energies in eV/atom: -1.32

a = 8.851 Å, b = 8.851 Å, c = 12.069 Å
α = 90.00°, β = 90.00°, γ = 120.00°
Fractional coordinates of all 25 atoms:
Pr 0.000 0.000 0.000
Pr 0.093 0.382 0.337
Pr 0.289 0.907 0.337
Pr 0.333 0.667 0.052
Pr 0.382 0.289 0.663
Pr 0.618 0.711 0.337
Pr 0.667 0.333 0.948
Pr 0.711 0.093 0.663
Pr 0.907 0.618 0.663
Co 0.333 0.667 0.260
Co 0.667 0.333 0.740
Br 0.000 0.000 0.255
Br 0.000 0.000 0.745
Br 0.043 0.687 0.911
Br 0.082 0.397 0.596
Br 0.313 0.356 0.911
Br 0.316 0.918 0.596
Br 0.356 0.043 0.089
Br 0.397 0.316 0.404
Br 0.603 0.684 0.596
Br 0.644 0.957 0.911
Br 0.684 0.082 0.404
Br 0.687 0.644 0.089
Br 0.918 0.603 0.404
Br 0.957 0.313 0.089

No. 9
Here is a relaxed structure of Pr6CoBr10 from Alexandria via LeMat-Bulk. Energies are from GGA-PBE.

Crystal system: triclinic
E in eV/atom: -4.651
Total magnetic moment in μB/cell: 0.74
Formation energy from raw total energies in eV/atom: -1.56

a = 7.704 Å, b = 9.462 Å, c = 9.631 Å
α = 108.44°, β = 105.38°, γ = 96.86°
Fractional coordinates of all 17 atoms:
Pr 0.035 0.403 0.201
Pr 0.123 0.265 0.547
Pr 0.361 0.687 0.637
Pr 0.639 0.313 0.363
Pr 0.877 0.735 0.453
Pr 0.965 0.597 0.799
Co 0.000 0.500 0.500
Br 0.084 0.328 0.865
Br 0.212 0.149 0.247
Br 0.246 0.957 0.580
Br 0.347 0.776 0.952
Br 0.456 0.581 0.325
Br 0.544 0.419 0.675
Br 0.653 0.224 0.048
Br 0.754 0.043 0.420
Br 0.788 0.851 0.753
Br 0.916 0.672 0.135

No. 10
Here is a relaxed structure of Pr4Co2Br5 from Alexandria via LeMat-Bulk. Energies are from GGA-PBE.

Crystal system: orthorhombic
E in eV/atom: -4.817
Total magnetic moment in μB/cell: 0.00
Formation energy from raw total energies in eV/atom: -1.03

a = 10.625 Å, b = 10.625 Å, c = 10.625 Å
α = 157.56°, β = 132.91°, γ = 52.77°
Fractional coordinates of all 11 atoms:
Pr 0.182 0.182 0.000
Pr 0.214 0.500 0.714
Pr 0.786 0.500 0.286
Pr 0.818 0.818 0.000
Co 0.055 0.055 0.000
Co 0.945 0.945 0.000
Br 0.100 0.331 0.769
Br 0.438 0.669 0.769
Br 0.500 0.000 0.500
Br 0.562 0.331 0.231
Br 0.900 0.669 0.231

No. 11
Here is a relaxed structure of Pr5Co2Br2 from Alexandria via LeMat-Bulk. Energies are from GGA-PBE.

Crystal system: orthorhombic
E in eV/atom: -5.139
Total magnetic moment in μB/cell: 0.00
Formation energy from raw total energies in eV/atom: -0.53

a = 8.961 Å, b = 8.961 Å, c = 8.041 Å
α = 90.00°, β = 90.00°, γ = 51.28°
Fractional coordinates of all 18 atoms:
Pr 0.000 0.000 0.000
Pr 0.038 0.738 0.656
Pr 0.238 0.538 0.156
Pr 0.262 0.962 0.656
Pr 0.462 0.762 0.156
Pr 0.500 0.500 0.500
Pr 0.538 0.238 0.844
Pr 0.738 0.038 0.344
Pr 0.762 0.462 0.844
Pr 0.962 0.262 0.344
Co 0.147 0.853 0.368
Co 0.353 0.647 0.868
Co 0.647 0.353 0.132
Co 0.853 0.147 0.632
Br 0.206 0.206 0.000
Br 0.294 0.294 0.500
Br 0.706 0.706 0.500
Br 0.794 0.794 0.000

No. 12
Here is a relaxed structure of Pr5CoBr5 from Alexandria via LeMat-Bulk. Energies are from GGA-PBE.

Crystal system: monoclinic
E in eV/atom: -4.744
Total magnetic moment in μB/cell: 0.00
Formation energy from raw total energies in eV/atom: -1.17

a = 7.217 Å, b = 7.217 Å, c = 8.876 Å
α = 108.27°, β = 108.27°, γ = 49.18°
Fractional coordinates of all 11 atoms:
Pr 0.000 0.000 0.000
Pr 0.331 0.331 0.135
Pr 0.360 0.360 0.722
Pr 0.640 0.640 0.278
Pr 0.669 0.669 0.865
Co 0.500 0.500 0.000
Br 0.145 0.145 0.789
Br 0.174 0.174 0.358
Br 0.500 0.500 0.500
Br 0.826 0.826 0.642
Br 0.855 0.855 0.211

No. 13
Here is a relaxed structure of Pr3CoBr from Alexandria via LeMat-Bulk. Energies are from GGA-PBE.

Crystal system: orthorhombic
Energy relative to the lowest polymorph listed for this composition in meV per atom: 53.5
E in eV/atom: -5.053
Total magnetic moment in μB/cell: 0.00
Formation energy from raw total energies in eV/atom: -0.43

a = 3.811 Å, b = 9.768 Å, c = 8.282 Å
α = 90.00°, β = 90.00°, γ = 90.00°
Fractional coordinates of all 10 atoms:
Pr 0.250 0.077 0.165
Pr 0.250 0.250 0.762
Pr 0.250 0.423 0.165
Pr 0.750 0.577 0.835
Pr 0.750 0.750 0.238
Pr 0.750 0.923 0.835
Co 0.250 0.750 0.008
Co 0.750 0.250 0.992
Br 0.250 0.750 0.559
Br 0.750 0.250 0.441

No. 14
Here is a relaxed structure of Pr3CoBr3 from Alexandria via LeMat-Bulk. Energies are from GGA-PBE.

Crystal system: monoclinic
Energy relative to the lowest polymorph listed for this composition in meV per atom: 14.1
E in eV/atom: -4.946
Total magnetic moment in μB/cell: 0.00
Formation energy from raw total energies in eV/atom: -1.17

a = 9.043 Å, b = 4.117 Å, c = 12.043 Å
α = 90.00°, β = 93.09°, γ = 90.00°
Fractional coordinates of all 14 atoms:
Pr 0.098 0.250 0.389
Pr 0.122 0.250 0.843
Pr 0.322 0.750 0.624
Pr 0.678 0.250 0.376
Pr 0.878 0.750 0.157
Pr 0.902 0.750 0.611
Co 0.118 0.250 0.624
Co 0.882 0.750 0.376
Br 0.123 0.250 0.117
Br 0.369 0.750 0.877
Br 0.387 0.750 0.372
Br 0.613 0.250 0.628
Br 0.631 0.250 0.123
Br 0.877 0.750 0.883

No. 15
Here is a relaxed structure of Pr6Co2PtBr3 from Alexandria via LeMat-Bulk. Energies are from GGA-PBE.

Crystal system: monoclinic
E in eV/atom: -5.391
Total magnetic moment in μB/cell: 0.00
Formation energy from raw total energies in eV/atom: -0.90

a = 7.131 Å, b = 7.131 Å, c = 8.177 Å
α = 98.32°, β = 98.32°, γ = 120.03°
Fractional coordinates of all 12 atoms:
Pr 0.086 0.435 0.806
Pr 0.215 0.215 0.194
Pr 0.435 0.086 0.806
Pr 0.565 0.914 0.194
Pr 0.785 0.785 0.806
Pr 0.914 0.565 0.194
Co 0.167 0.833 0.000
Co 0.833 0.167 0.000
Pt 0.500 0.500 0.000
Br 0.000 0.000 0.500
Br 0.332 0.668 0.500
Br 0.668 0.332 0.500

No. 16
Here is a relaxed structure of Pr8CoPt3Br4 from Alexandria via LeMat-Bulk. Energies are from GGA-PBE.

Crystal system: trigonal
E in eV/atom: -5.495
Total magnetic moment in μB/cell: 0.00
Formation energy from raw total energies in eV/atom: -1.11

a = 9.191 Å, b = 9.191 Å, c = 9.191 Å
α = 54.58°, β = 54.58°, γ = 54.58°
Fractional coordinates of all 16 atoms:
Pr 0.233 0.233 0.233
Pr 0.246 0.725 0.725
Pr 0.275 0.275 0.754
Pr 0.275 0.754 0.275
Pr 0.725 0.246 0.725
Pr 0.725 0.725 0.246
Pr 0.754 0.275 0.275
Pr 0.767 0.767 0.767
Co 0.500 0.500 0.500
Pt 0.000 0.000 0.500
Pt 0.000 0.500 0.000
Pt 0.500 0.000 0.000
Br 0.000 0.000 0.000
Br 0.000 0.500 0.500
Br 0.500 0.000 0.500
Br 0.500 0.500 0.000

No. 17
Here is a relaxed structure of Pr4CoPtBr2 from Alexandria via LeMat-Bulk. Energies are from GGA-PBE.

Crystal system: monoclinic
E in eV/atom: -5.429
Total magnetic moment in μB/cell: 0.00
Formation energy from raw total energies in eV/atom: -0.98

a = 7.247 Å, b = 4.145 Å, c = 8.172 Å
α = 90.00°, β = 107.19°, γ = 90.00°
Fractional coordinates of all 8 atoms:
Pr 0.220 0.000 0.193
Pr 0.252 0.500 0.805
Pr 0.748 0.500 0.195
Pr 0.780 0.000 0.807
Co 0.000 0.500 0.000
Pt 0.500 0.000 0.000
Br 0.000 0.000 0.500
Br 0.500 0.500 0.500

No. 18
Here is a relaxed structure of Pr6CoPt2Br3 from Alexandria via LeMat-Bulk. Energies are from GGA-PBE.

Crystal system: monoclinic
E in eV/atom: -5.480
Total magnetic moment in μB/cell: 0.00
Formation energy from raw total energies in eV/atom: -1.07

a = 7.281 Å, b = 7.281 Å, c = 8.158 Å
α = 98.50°, β = 98.50°, γ = 120.10°
Fractional coordinates of all 12 atoms:
Pr 0.065 0.382 0.195
Pr 0.252 0.252 0.805
Pr 0.382 0.065 0.195
Pr 0.618 0.935 0.805
Pr 0.748 0.748 0.195
Pr 0.935 0.618 0.805
Co 0.000 0.000 0.000
Pt 0.333 0.667 0.000
Pt 0.667 0.333 0.000
Br 0.163 0.837 0.500
Br 0.500 0.500 0.500
Br 0.837 0.163 0.500

No. 19
Here is a relaxed structure of Pr6Co2RhBr3 from Alexandria via LeMat-Bulk. Energies are from GGA-PBE.

Crystal system: monoclinic
E in eV/atom: -5.438
Total magnetic moment in μB/cell: 0.00
Formation energy from raw total energies in eV/atom: -0.83

a = 10.035 Å, b = 10.035 Å, c = 9.180 Å
α = 111.88°, β = 111.88°, γ = 23.36°
Fractional coordinates of all 12 atoms:
Pr 0.016 0.016 0.227
Pr 0.321 0.321 0.448
Pr 0.342 0.342 0.877
Pr 0.658 0.658 0.123
Pr 0.679 0.679 0.552
Pr 0.984 0.984 0.773
Co 0.168 0.168 0.337
Co 0.832 0.832 0.663
Rh 0.500 0.500 0.000
Br 0.166 0.166 0.833
Br 0.500 0.500 0.500
Br 0.834 0.834 0.167